1.
# ZrSi3C (PBEsol, optimized geometry)
data_ZrSi3C
_chemical_formula_sum 'Zr1 Si3 C1'
_cell_length_a 4.0947
_cell_length_b 4.0947
_cell_length_c 4.0947
_cell_angle_alpha 90.00
_cell_angle_beta 90.00
_cell_angle_gamma 90.00
_symmetry_space_group_name_H-M 'P m -3 m'
_symmetry_Int_Tables_number 221
_symmetry_space_group_name_Hall '-P 4 2 3'
loop_
_atom_site_label
_atom_site_type_symbol
_atom_site_fract_x
_atom_site_fract_y
_atom_site_fract_z
Zr1 Zr 0.0000 0.0000 0.0000
Si1 Si 0.0000 0.5000 0.5000
C1 C 0.5000 0.5000 0.5000
# Spin magnetization = 0.000 μB per cell
# Raw formation energy = 459.5 meV/atom

=====

2.
# Zr2SiC (PBEsol, optimized geometry)
data_Zr2SiC
_chemical_formula_sum 'Zr8 Si4 C4'
_cell_length_a 6.2598
_cell_length_b 6.2598
_cell_length_c 6.2598
_cell_angle_alpha 90.00
_cell_angle_beta 90.00
_cell_angle_gamma 90.00
_symmetry_space_group_name_H-M 'F m -3 m'
_symmetry_Int_Tables_number 225
_symmetry_space_group_name_Hall '-F 4 2 3'
loop_
_atom_site_label
_atom_site_type_symbol
_atom_site_fract_x
_atom_site_fract_y
_atom_site_fract_z
Zr1 Zr 0.2500 0.2500 0.2500
Si1 Si 0.0000 0.0000 0.0000
C1 C 0.0000 0.0000 0.5000
# Spin magnetization = 0.018 μB per cell
# Raw formation energy = 288.2 meV/atom

=====

3.
# Sm2C (PBEsol, optimized geometry)
data_Sm2C
_chemical_formula_sum 'Sm6 C3'
_cell_length_a 3.5893
_cell_length_b 3.5893
_cell_length_c 19.2370
_cell_angle_alpha 90.00
_cell_angle_beta 90.00
_cell_angle_gamma 120.00
_symmetry_space_group_name_H-M 'R -3 m'
_symmetry_Int_Tables_number 166
_symmetry_space_group_name_Hall '-R 3 2"'
loop_
_atom_site_label
_atom_site_type_symbol
_atom_site_fract_x
_atom_site_fract_y
_atom_site_fract_z
Sm1 Sm 0.0000 0.0000 0.2384
C1 C 0.0000 0.0000 0.5000
# Spin magnetization = 0.000 μB per cell
# Energy of formation from the pure elements = -0.187 eV/atom

=====

4.
# TaSn3C (PBEsol, optimized geometry)
data_TaSn3C
_chemical_formula_sum 'Ta1 Sn3 C1'
_cell_length_a 4.6006
_cell_length_b 4.6006
_cell_length_c 4.6006
_cell_angle_alpha 90.00
_cell_angle_beta 90.00
_cell_angle_gamma 90.00
_symmetry_space_group_name_H-M 'P m -3 m'
_symmetry_Int_Tables_number 221
_symmetry_space_group_name_Hall '-P 4 2 3'
loop_
_atom_site_label
_atom_site_type_symbol
_atom_site_fract_x
_atom_site_fract_y
_atom_site_fract_z
Ta1 Ta 0.0000 0.0000 0.0000
Sn1 Sn 0.0000 0.5000 0.5000
C1 C 0.5000 0.5000 0.5000
# Spin magnetization = 0.000 μB per cell
# Energy of formation from the pure elements = 1.179 eV/atom